## Sm2Dy2CI3Br2 (PBE)

Data for an optimized crystal structure of Sm2Dy2CI3Br2.

Cell lengths 9.5323, 9.5323, 8.5243 Å; angles 102.45, 102.45, 23.87 degrees
Closest atoms and distances in Å follow each position.
Sites, in units of the cell vectors:
Br1 0.1559 0.1559 0.3340  1 Dy 2.91, 2 Sm 2.94
Br2 0.8441 0.8441 0.6660  1 Dy 2.91, 2 Sm 2.94
C1 0.5000 0.5000 0.0000  2 Sm 2.48, 4 Dy 2.56
Dy1 0.9993 0.9993 0.1907  2 C 2.56
Dy2 0.0007 0.0007 0.8093  2 C 2.56
I1 0.8302 0.8302 0.1896  2 Sm 3.14, 1 Dy 3.15
I2 0.5000 0.5000 0.5000  4 Dy 3.29
I3 0.1698 0.1698 0.8104  2 Sm 3.14, 1 Dy 3.15
Sm1 0.6364 0.6364 0.0723  1 C 2.48
Sm2 0.3636 0.3636 0.9277  1 C 2.48

Its density is 6.4 g/cm³. As for the crystal system: monoclinic. The space group is C2/m, No. 12. The excess energy over the best structure of this formula in the dataset comes out at 0 meV per atom.

## Sm2Dy2CIBr4 (PBE)

Data for an optimized crystal structure of Sm2Dy2CIBr4.

Cell lengths 9.1686, 9.1686, 8.4903 Å; angles 103.36, 103.36, 24.48 degrees
Closest atoms and distances in Å follow each position.
Sites, in units of the cell vectors:
Br1 0.8317 0.8317 0.1717  3 Sm 2.97-3.31, 1 Dy 2.97
Br2 0.1629 0.1629 0.3368  1 Dy 2.90, 2 Sm 2.92
Br3 0.8371 0.8371 0.6632  1 Dy 2.90, 2 Sm 2.92
Br4 0.1683 0.1683 0.8283  3 Sm 2.97-3.31, 1 Dy 2.97
C1 0.5000 0.5000 0.0000  2 Sm 2.47, 4 Dy 2.54
Dy1 0.9994 0.9994 0.1914  2 C 2.54
Dy2 0.0006 0.0006 0.8086  2 C 2.54
I1 0.5000 0.5000 0.5000  4 Dy 3.26
Sm1 0.6418 0.6418 0.0732  1 C 2.47
Sm2 0.3582 0.3582 0.9268  1 C 2.47

Its density is 6.3 g/cm³. As for the crystal system: monoclinic. The space group is C2/m, No. 12. The excess energy over the best structure of this formula in the dataset comes out at 2 meV per atom.

Question: What is the formula in the second record?
Answer: Sm2Dy2CIBr4

Question: What is the formula in the second record?
Answer: Sm2Dy2CIBr4